Material: Rb2Be3Zn2F12
Method: DFT, PBEsol
State: optimized geometry

```
76
Lattice="10.022 0.000 0.000 0.000 10.022 0.000 0.000 0.000 10.022" Properties=species:S:1:pos:R:3 pbc="T T T"
Rb 0.440 0.440 0.440
Rb 1.871 3.140 6.883
Rb 3.140 6.883 1.871
Rb 4.571 9.582 5.452
Rb 5.452 4.571 9.582
Rb 6.883 1.871 3.140
Rb 8.151 8.151 8.151
Rb 9.582 5.452 4.571
Be 0.215 2.108 3.775
Be 1.237 9.807 7.120
Be 2.108 3.775 0.215
Be 2.903 6.248 5.226
Be 3.775 0.215 2.108
Be 4.796 7.914 8.786
Be 5.226 2.903 6.248
Be 6.248 5.226 2.903
Be 7.120 1.237 9.807
Be 7.914 8.786 4.796
Be 8.786 4.796 7.914
Be 9.807 7.120 1.237
Zn 0.998 9.025 4.013
Zn 1.660 6.671 8.363
Zn 3.352 3.352 3.352
Zn 4.013 0.998 9.025
Zn 6.009 6.009 6.009
Zn 6.671 8.363 1.660
Zn 8.363 1.660 6.671
Zn 9.025 4.013 0.998
F 0.073 0.645 3.281
F 0.086 5.591 7.664
F 0.458 8.063 2.286
F 0.579 7.370 9.937
F 0.645 3.281 0.073
F 0.963 8.332 7.481
F 1.690 2.470 4.048
F 1.731 9.949 5.656
F 1.959 7.297 4.553
F 2.286 0.458 8.063
F 2.359 5.097 9.443
F 2.470 4.048 1.690
F 2.541 5.975 6.702
F 2.652 4.925 4.432
F 2.725 9.564 3.052
F 3.052 2.725 9.564
F 3.281 0.073 0.645
F 3.321 7.553 9.059
F 4.048 1.690 2.470
F 4.366 6.742 5.084
F 4.432 2.652 4.925
F 4.553 1.959 7.297
F 4.925 4.432 2.652
F 4.938 9.377 8.292
F 5.084 4.366 6.742
F 5.097 9.443 2.359
F 5.469 6.971 7.737
F 5.591 7.664 0.086
F 5.656 1.731 9.949
F 5.975 6.702 2.541
F 6.702 2.541 5.975
F 6.742 5.084 4.366
F 6.971 7.737 5.469
F 7.297 4.553 1.959
F 7.370 9.937 0.579
F 7.481 0.963 8.332
F 7.553 9.059 3.321
F 7.664 0.086 5.591
F 7.737 5.469 6.971
F 8.063 2.286 0.458
F 8.292 4.938 9.377
F 8.332 7.481 0.963
F 9.059 3.321 7.553
F 9.377 8.292 4.938
F 9.443 2.359 5.097
F 9.564 3.052 2.725
F 9.937 0.579 7.370
F 9.949 5.656 1.731
```

M_tot, Bohr magnetons per cell: 0.00
Calculated volume, Å³/cell: 1006.7
Energy relative to the elements, uncorrected, eV/atom: -2.9057